Record 1
First-principles (PBE-GGA) data for crystalline Tl2GaBi2Pb at its relaxed geometry, as listed in the Alexandria database.

```
data_Tl2GaBi2Pb
_symmetry_space_group_name_H-M 'P 1'
_symmetry_Int_Tables_number 1
_cell_length_a 6.9146
_cell_length_b 6.8285
_cell_length_c 9.6614
_cell_angle_alpha 110.70
_cell_angle_beta 110.97
_cell_angle_gamma 90.00
loop_
_symmetry_equiv_pos_as_xyz
'x,y,z'
loop_
_atom_site_label
_atom_site_fract_x
_atom_site_fract_y
_atom_site_fract_z
Tl1 0.3910 0.1759 0.3518
Tl2 0.6090 0.8241 0.6482
Tl3 0.0392 0.3241 0.6482
Tl4 0.9608 0.6759 0.3518
Ga1 0.5000 0.7500 0.0000
Ga2 0.5000 0.2500 0.0000
Bi1 0.8188 0.1197 0.2393
Bi2 0.4206 0.6197 0.2393
Bi3 0.5794 0.3803 0.7607
Bi4 0.1812 0.8803 0.7607
Pb1 0.0000 0.7500 0.0000
Pb2 0.0000 0.2500 0.0000
```

Properties
- ΔH_f (0 K) (eV/atom) = 0.0176
- SG = Ibam (72)

=====

Record 2
First-principles (PBE-GGA) data for crystalline TlGaBiPb at its relaxed geometry, as listed in the Alexandria database.

```
data_TlGaBiPb
_symmetry_space_group_name_H-M 'P 1'
_symmetry_Int_Tables_number 1
_cell_length_a 3.9143
_cell_length_b 3.9143
_cell_length_c 7.6132
_cell_angle_alpha 90.00
_cell_angle_beta 90.00
_cell_angle_gamma 90.00
loop_
_symmetry_equiv_pos_as_xyz
'x,y,z'
loop_
_atom_site_label
_atom_site_fract_x
_atom_site_fract_y
_atom_site_fract_z
Tl1 0.6461 0.3539 0.9817
Ga1 0.6464 0.3536 0.4610
Bi1 0.1463 0.8537 0.2621
Pb1 0.1461 0.8539 0.6839
```

Properties
- ΔH_f (0 K) (eV/atom) = 0.0395
- SG = P4mm (99)
- energy relative to the lowest polymorph listed for this composition (meV per atom) = 0

=====

Record 3
First-principles (PBE-GGA) data for crystalline YGaBiPb2 at its relaxed geometry, as listed in the Alexandria database.

```
data_YGaBiPb2
_symmetry_space_group_name_H-M 'P 1'
_symmetry_Int_Tables_number 1
_cell_length_a 5.8889
_cell_length_b 5.8889
_cell_length_c 5.4723
_cell_angle_alpha 90.00
_cell_angle_beta 90.00
_cell_angle_gamma 90.00
loop_
_symmetry_equiv_pos_as_xyz
'x,y,z'
loop_
_atom_site_label
_atom_site_fract_x
_atom_site_fract_y
_atom_site_fract_z
Pb1 0.0000 0.5000 0.0000
Pb2 0.5000 0.0000 0.0000
Y1 0.0000 0.0000 0.0000
Bi1 0.5000 0.5000 0.5000
Ga1 0.0000 0.0000 0.5000
```

Properties
- ΔH_f (0 K) (eV/atom) = 0.5288
- SG = P4/mmm (123)

=====

Record 4
First-principles (PBE-GGA) data for crystalline GaBi5Pd4 at its relaxed geometry, as listed in the Alexandria database.

```
data_GaBi5Pd4
_symmetry_space_group_name_H-M 'P 1'
_symmetry_Int_Tables_number 1
_cell_length_a 4.3150
_cell_length_b 6.9351
_cell_length_c 9.2945
_cell_angle_alpha 115.18
_cell_angle_beta 103.42
_cell_angle_gamma 90.00
loop_
_symmetry_equiv_pos_as_xyz
'x,y,z'
loop_
_atom_site_label
_atom_site_fract_x
_atom_site_fract_y
_atom_site_fract_z
Ga1 0.5000 0.0000 0.0000
Bi1 0.8493 0.7438 0.6987
Bi2 0.8150 0.2198 0.6299
Bi3 0.1850 0.7802 0.3701
Bi4 0.5000 0.5000 0.0000
Bi5 0.1507 0.2562 0.3013
Pd1 0.3618 0.0322 0.7236
Pd2 0.0170 0.8097 0.0340
Pd3 0.6382 0.9678 0.2764
Pd4 0.9830 0.1903 0.9660
```

Properties
- ΔH_f (0 K) (eV/atom) = -0.2794
- SG = C2/m (12)

=====

Record 5
First-principles (PBE-GGA) data for crystalline Ga2BiPd at its relaxed geometry, as listed in the Alexandria database.

```
data_Ga2BiPd
_symmetry_space_group_name_H-M 'P 1'
_symmetry_Int_Tables_number 1
_cell_length_a 4.3226
_cell_length_b 4.3226
_cell_length_c 5.9286
_cell_angle_alpha 68.62
_cell_angle_beta 68.62
_cell_angle_gamma 60.00
loop_
_symmetry_equiv_pos_as_xyz
'x,y,z'
loop_
_atom_site_label
_atom_site_fract_x
_atom_site_fract_y
_atom_site_fract_z
Ga1 0.0463 0.0463 0.8611
Ga2 0.2795 0.2795 0.1615
Bi1 0.4964 0.4964 0.5107
Pd1 0.6778 0.6778 0.9667
```

Properties
- ΔH_f (0 K) (eV/atom) = -0.1841
- SG = R3m (160)

=====

Record 6
First-principles (PBE-GGA) data for crystalline GaBiPd4 at its relaxed geometry, as listed in the Alexandria database.

```
data_GaBiPd4
_symmetry_space_group_name_H-M 'P 1'
_symmetry_Int_Tables_number 1
_cell_length_a 4.7056
_cell_length_b 5.4391
_cell_length_c 8.2870
_cell_angle_alpha 90.00
_cell_angle_beta 89.98
_cell_angle_gamma 90.00
loop_
_symmetry_equiv_pos_as_xyz
'x,y,z'
loop_
_atom_site_label
_atom_site_fract_x
_atom_site_fract_y
_atom_site_fract_z
Ga1 0.5000 0.0000 0.5000
Ga2 0.0000 0.5000 0.5000
Bi1 0.0000 0.0000 0.0000
Bi2 0.5000 0.5000 0.0000
Pd1 0.9999 0.5816 0.1968
Pd2 0.5001 0.0816 0.8032
Pd3 0.4998 0.4019 0.3455
Pd4 0.0002 0.9019 0.6545
Pd5 0.0001 0.4184 0.8032
Pd6 0.4999 0.9184 0.1968
Pd7 0.5002 0.5981 0.6545
Pd8 0.9998 0.0981 0.3455
```

Properties
- ΔH_f (0 K) (eV/atom) = -0.3630
- SG = Pmna (53)

=====

Record 7
First-principles (PBE-GGA) data for crystalline Ga2BiPd8 at its relaxed geometry, as listed in the Alexandria database.

```
data_Ga2BiPd8
_symmetry_space_group_name_H-M 'P 1'
_symmetry_Int_Tables_number 1
_cell_length_a 4.0472
_cell_length_b 6.4951
_cell_length_c 7.4901
_cell_angle_alpha 108.57
_cell_angle_beta 105.67
_cell_angle_gamma 90.00
loop_
_symmetry_equiv_pos_as_xyz
'x,y,z'
loop_
_atom_site_label
_atom_site_fract_x
_atom_site_fract_y
_atom_site_fract_z
Ga1 0.7950 0.3262 0.5899
Ga2 0.2050 0.6738 0.4101
Bi1 0.5000 0.0000 0.0000
Pd1 0.4003 0.5206 0.8006
Pd2 0.6785 0.9368 0.3570
Pd3 0.8265 0.7377 0.6530
Pd4 0.9638 0.2695 0.9276
Pd5 0.1735 0.2623 0.3470
Pd6 0.3215 0.0632 0.6430
Pd7 0.5997 0.4794 0.1994
Pd8 0.0362 0.7305 0.0724
```

Properties
- ΔH_f (0 K) (eV/atom) = -0.4220
- SG = C2/m (12)
- energy relative to the lowest polymorph listed for this composition (meV per atom) = 0

=====

Record 8
First-principles (PBE-GGA) data for crystalline Ga2BiPd2 at its relaxed geometry, as listed in the Alexandria database.

```
data_Ga2BiPd2
_symmetry_space_group_name_H-M 'P 1'
_symmetry_Int_Tables_number 1
_cell_length_a 7.7396
_cell_length_b 7.7396
_cell_length_c 3.0626
_cell_angle_alpha 90.00
_cell_angle_beta 90.00
_cell_angle_gamma 90.00
loop_
_symmetry_equiv_pos_as_xyz
'x,y,z'
loop_
_atom_site_label
_atom_site_fract_x
_atom_site_fract_y
_atom_site_fract_z
Ga1 0.1490 0.6490 0.5000
Ga2 0.6490 0.8510 0.5000
Ga3 0.8510 0.3510 0.5000
Ga4 0.3510 0.1490 0.5000
Bi1 0.0000 0.0000 0.0000
Bi2 0.5000 0.5000 0.0000
Pd1 0.3578 0.8578 0.0000
Pd2 0.8578 0.6422 0.0000
Pd3 0.6422 0.1422 0.0000
Pd4 0.1422 0.3578 0.0000
```

Properties
- ΔH_f (0 K) (eV/atom) = -0.3354
- SG = P4/mbm (127)
- energy relative to the lowest polymorph listed for this composition (meV per atom) = 47